Material: Fe4As3O16
Method: DFT, PBE with a Hubbard U
State: optimized geometry

## Properties
- DFT total energy (eV/atom) = -6.007
- total magnetization (μB per formula unit) = 15.0

abc: 7.9096 7.9096 7.9096
angles: 90.00 90.00 90.00
Last column: nearest neighbours and their distance in Å.
Fractional coordinates of all 23 atoms:
Fe  0.1358  0.1358  0.1358  6 O 1.91-2.00
Fe  0.1358  0.8642  0.8642  6 O 1.91-2.00
Fe  0.8642  0.1358  0.8642  6 O 1.91-2.00
Fe  0.8642  0.8642  0.1358  6 O 1.91-2.00
As  0.0000  0.0000  0.5000  4 O 1.72
As  0.0000  0.5000  0.0000  4 O 1.72
As  0.5000  0.0000  0.0000  4 O 1.72
O  0.1151  0.1151  0.8849  3 Fe 2.00
O  0.1151  0.8849  0.1151  3 Fe 2.00
O  0.1272  0.1272  0.3772  1 As 1.72, 1 Fe 1.91
O  0.1272  0.3772  0.1272  1 As 1.72, 1 Fe 1.91
O  0.1272  0.6228  0.8728  1 As 1.72, 1 Fe 1.91
O  0.1272  0.8728  0.6228  1 As 1.72, 1 Fe 1.91
O  0.3772  0.1272  0.1272  1 As 1.72, 1 Fe 1.91
O  0.3772  0.8728  0.8728  1 As 1.72, 1 Fe 1.91
O  0.6228  0.1272  0.8728  1 As 1.72, 1 Fe 1.91
O  0.6228  0.8728  0.1272  1 As 1.72, 1 Fe 1.91
O  0.8728  0.1272  0.6228  1 As 1.72, 1 Fe 1.91
O  0.8728  0.3772  0.8728  1 As 1.72, 1 Fe 1.91
O  0.8728  0.6228  0.1272  1 As 1.72, 1 Fe 1.91
O  0.8728  0.8728  0.3772  1 As 1.72, 1 Fe 1.91
O  0.8849  0.1151  0.1151  3 Fe 2.00
O  0.8849  0.8849  0.8849  3 Fe 2.00